No. 1
VASP calculation (PBE-GGA) on SrCaI2 after structural relaxation. Values from VASP.

Calculated values
VASP energy ... -2.54 eV per atom
Raw formation energy ... -81.40 kJ per mole of atoms

```
&SYSTEM
  ibrav = 0, nat = 16, ntyp = 3
/
ATOMIC_SPECIES
Sr 87.62 Sr.upf
Ca 40.08 Ca.upf
I 126.90 I.upf
CELL_PARAMETERS angstrom
7.435 0.000 0.000
0.000 7.435 0.000
0.000 0.000 14.853
ATOMIC_POSITIONS angstrom
Sr 0.000 0.000 0.000
Sr 0.000 3.717 3.713
Sr 3.717 0.000 11.139
Sr 3.717 3.717 7.426
Ca 0.000 0.000 7.426
Ca 0.000 3.717 11.139
Ca 3.717 0.000 3.713
Ca 3.717 3.717 0.000
I 1.681 1.859 9.283
I 1.859 5.398 12.996
I 1.859 5.754 5.570
I 2.036 1.859 1.857
I 5.398 5.576 1.857
I 5.576 1.681 5.570
I 5.576 2.036 12.996
I 5.754 5.576 9.283
```

---

No. 2
VASP calculation (PBE-GGA) on SrCa3I after structural relaxation. Values from VASP.

Calculated values
VASP energy ... -1.98 eV per atom
Raw formation energy ... -13.18 kJ per mole of atoms

```
&SYSTEM
  ibrav = 0, nat = 5, ntyp = 3
/
ATOMIC_SPECIES
Sr 87.62 Sr.upf
Ca 40.08 Ca.upf
I 126.90 I.upf
CELL_PARAMETERS angstrom
6.157 0.000 0.000
0.000 6.157 0.000
0.000 0.000 6.157
ATOMIC_POSITIONS angstrom
Sr 0.000 0.000 0.000
Ca 0.000 3.078 3.078
Ca 3.078 0.000 3.078
Ca 3.078 3.078 0.000
I 3.078 3.078 3.078
```

---

No. 3
VASP calculation (PBE-GGA) on SrCaI4 after structural relaxation. Values from VASP.

Calculated values
VASP energy ... -3.21 eV per atom
Raw formation energy ... -151.16 kJ per mole of atoms

```
&SYSTEM
  ibrav = 0, nat = 24, ntyp = 3
/
ATOMIC_SPECIES
Sr 87.62 Sr.upf
Ca 40.08 Ca.upf
I 126.90 I.upf
CELL_PARAMETERS angstrom
7.695 -6.949 0.000
7.695 6.949 0.000
-5.587 0.000 11.837
ATOMIC_POSITIONS angstrom
Sr 1.069 0.000 4.129
Sr 7.695 4.223 0.000
Sr 7.695 -4.223 0.000
Sr 8.733 0.000 7.708
Ca -1.893 0.000 9.963
Ca 4.901 4.406 5.918
Ca 4.901 -4.406 5.918
Ca 11.695 0.000 1.874
I -0.931 0.000 6.857
I 6.272 4.846 3.002
I 1.941 0.000 0.859
I 3.530 4.846 8.834
I -0.122 2.274 10.771
I 2.834 2.463 4.973
I -0.122 -2.274 10.771
I 6.969 2.463 6.863
I 2.834 -2.463 4.973
I 9.924 2.274 1.066
I 6.969 -2.463 6.863
I 9.924 -2.274 1.066
I 6.272 -4.846 3.002
I 7.861 0.000 10.978
I 3.530 -4.846 8.834
I 10.733 0.000 4.980
```

---

No. 4
VASP calculation (PBE-GGA) on Sr2CaI6 after structural relaxation. Values from VASP.

Calculated values
VASP energy ... -3.22 eV per atom
Raw formation energy ... -153.56 kJ per mole of atoms

```
&SYSTEM
  ibrav = 0, nat = 36, ntyp = 3
/
ATOMIC_SPECIES
Sr 87.62 Sr.upf
Ca 40.08 Ca.upf
I 126.90 I.upf
CELL_PARAMETERS angstrom
8.046 0.000 0.000
0.000 8.046 0.000
0.000 0.000 24.016
ATOMIC_POSITIONS angstrom
Sr 0.000 0.000 3.985
Sr 0.000 0.000 20.031
Sr 0.000 4.023 8.061
Sr 0.000 4.023 15.955
Sr 4.023 0.000 8.061
Sr 4.023 0.000 15.955
Sr 4.023 4.023 3.985
Sr 4.023 4.023 20.031
Ca 0.000 0.000 12.008
Ca 0.000 4.023 0.000
Ca 4.023 0.000 0.000
Ca 4.023 4.023 12.008
I 1.645 1.677 14.025
I 1.677 6.402 9.990
I 1.680 2.278 21.999
I 1.745 2.343 2.016
I 1.806 6.037 18.001
I 2.010 1.806 6.015
I 2.014 5.829 6.015
I 2.217 2.014 18.001
I 2.278 6.367 2.016
I 2.343 6.302 21.999
I 2.346 2.379 9.990
I 2.379 5.700 14.025
I 5.668 2.346 14.025
I 5.700 5.668 9.990
I 5.703 1.745 21.999
I 5.768 1.680 2.016
I 5.829 6.033 18.001
I 6.033 2.217 6.015
I 6.037 6.240 6.015
I 6.240 2.010 18.001
I 6.302 5.703 2.016
I 6.367 5.768 21.999
I 6.369 1.645 9.990
I 6.402 6.369 14.025
```

---

No. 5
VASP calculation (PBE-GGA) on Sr2CaI6 after structural relaxation. Values from VASP.

Calculated values
VASP energy ... -3.22 eV per atom
Raw formation energy ... -153.06 kJ per mole of atoms

```
&SYSTEM
  ibrav = 0, nat = 18, ntyp = 3
/
ATOMIC_SPECIES
Sr 87.62 Sr.upf
Ca 40.08 Ca.upf
I 126.90 I.upf
CELL_PARAMETERS angstrom
12.033 -4.026 0.000
12.033 4.026 0.000
0.000 0.000 8.019
ATOMIC_POSITIONS angstrom
Sr 3.986 0.000 0.000
Sr 8.046 0.000 4.009
Sr 16.019 0.000 4.009
Sr 20.079 0.000 0.000
Ca 0.000 0.000 4.009
Ca 12.033 0.000 0.000
I 6.016 1.820 6.014
I 10.010 2.338 5.726
I 10.010 1.688 1.717
I 14.055 2.338 5.726
I 14.055 1.688 1.717
I 6.016 -1.820 2.005
I 18.049 1.820 6.014
I 10.010 -1.688 6.302
I 10.010 -2.338 2.293
I 14.055 -1.688 6.302
I 14.055 -2.338 2.293
I 18.049 -1.820 2.005
```

---

No. 6
VASP calculation (PBE-GGA) on Sr2CaI6 after structural relaxation. Values from VASP.

Calculated values
VASP energy ... -3.31 eV per atom
Raw formation energy ... -161.77 kJ per mole of atoms

```
&SYSTEM
  ibrav = 0, nat = 9, ntyp = 3
/
ATOMIC_SPECIES
Sr 87.62 Sr.upf
Ca 40.08 Ca.upf
I 126.90 I.upf
CELL_PARAMETERS angstrom
10.203 -2.371 0.000
10.203 2.371 0.000
-1.947 0.000 9.192
ATOMIC_POSITIONS angstrom
Sr 2.706 0.000 3.046
Sr 15.753 0.000 6.145
Ca 10.203 0.000 0.000
I -1.482 0.000 7.096
I 5.925 0.000 3.875
I 5.188 0.000 8.418
I 13.271 0.000 0.774
I 12.534 0.000 5.317
I 19.941 0.000 2.095
```

---

No. 7
VASP calculation (PBE-GGA) on SrCaTeI2 after structural relaxation. Values from VASP.

Calculated values
VASP energy ... -3.22 eV per atom
Raw formation energy ... -119.42 kJ per mole of atoms

```
&SYSTEM
  ibrav = 0, nat = 5, ntyp = 4
/
ATOMIC_SPECIES
Sr 87.62 Sr.upf
Ca 40.08 Ca.upf
Te 127.60 Te.upf
I 126.90 I.upf
CELL_PARAMETERS angstrom
5.874 0.000 0.000
0.000 5.874 0.000
0.000 0.000 6.166
ATOMIC_POSITIONS angstrom
Sr 0.000 0.000 0.000
Ca 2.937 2.937 3.083
Te 2.937 2.937 0.000
I 0.000 2.937 3.083
I 2.937 0.000 3.083
```

---

No. 8
VASP calculation (PBE-GGA) on SrCaTeI2 after structural relaxation. Values from VASP.

Calculated values
VASP energy ... -2.95 eV per atom
Raw formation energy ... -93.15 kJ per mole of atoms

```
&SYSTEM
  ibrav = 0, nat = 5, ntyp = 4
/
ATOMIC_SPECIES
Sr 87.62 Sr.upf
Ca 40.08 Ca.upf
Te 127.60 Te.upf
I 126.90 I.upf
CELL_PARAMETERS angstrom
6.090 0.000 0.000
0.000 6.090 0.000
0.000 0.000 6.434
ATOMIC_POSITIONS angstrom
Sr 0.000 0.000 0.000
Ca 3.045 3.045 3.217
Te 0.000 0.000 3.217
I 0.000 3.045 0.000
I 3.045 0.000 0.000
```

---

No. 9
VASP calculation (PBE-GGA) on SrCaTe2I after structural relaxation. Values from VASP.

Calculated values
VASP energy ... -2.99 eV per atom
Raw formation energy ... -66.10 kJ per mole of atoms

```
&SYSTEM
  ibrav = 0, nat = 5, ntyp = 4
/
ATOMIC_SPECIES
Sr 87.62 Sr.upf
Ca 40.08 Ca.upf
Te 127.60 Te.upf
I 126.90 I.upf
CELL_PARAMETERS angstrom
6.114 0.000 0.000
0.000 6.114 0.000
0.000 0.000 6.147
ATOMIC_POSITIONS angstrom
Sr 0.000 0.000 0.000
Ca 3.057 3.057 3.073
Te 0.000 3.057 0.000
Te 3.057 0.000 0.000
I 0.000 0.000 3.073
```

---

No. 10
VASP calculation (PBE-GGA) on SrCaTe2I after structural relaxation. Values from VASP.

Calculated values
VASP energy ... -3.29 eV per atom
Raw formation energy ... -95.63 kJ per mole of atoms

```
&SYSTEM
  ibrav = 0, nat = 5, ntyp = 4
/
ATOMIC_SPECIES
Sr 87.62 Sr.upf
Ca 40.08 Ca.upf
Te 127.60 Te.upf
I 126.90 I.upf
CELL_PARAMETERS angstrom
5.862 0.000 0.000
0.000 5.862 0.000
0.000 0.000 5.992
ATOMIC_POSITIONS angstrom
Sr 0.000 0.000 0.000
Ca 2.931 2.931 2.996
Te 0.000 2.931 2.996
Te 2.931 0.000 2.996
I 2.931 2.931 0.000
```

---

No. 11
VASP calculation (PBE-GGA) on SrCa2TlI after structural relaxation. Values from VASP.

Calculated values
VASP energy ... -2.03 eV per atom
Raw formation energy ... -10.42 kJ per mole of atoms

```
&SYSTEM
  ibrav = 0, nat = 5, ntyp = 4
/
ATOMIC_SPECIES
Sr 87.62 Sr.upf
Ca 40.08 Ca.upf
Tl 204.38 Tl.upf
I 126.90 I.upf
CELL_PARAMETERS angstrom
6.037 0.000 0.000
0.000 6.037 0.000
0.000 0.000 6.683
ATOMIC_POSITIONS angstrom
Sr 0.000 0.000 0.000
Ca 0.000 3.019 3.341
Ca 3.019 0.000 3.341
Tl 3.019 3.019 3.341
I 3.019 3.019 0.000
```

---

No. 12
VASP calculation (PBE-GGA) on SrCaVI2 after structural relaxation. Values from VASP.

Calculated values
VASP energy ... -2.99 eV per atom
Raw formation energy ... 18.27 kJ per mole of atoms

```
&SYSTEM
  ibrav = 0, nat = 5, ntyp = 4
/
ATOMIC_SPECIES
Sr 87.62 Sr.upf
Ca 40.08 Ca.upf
V 50.94 V.upf
I 126.90 I.upf
CELL_PARAMETERS angstrom
6.155 0.000 0.000
0.000 6.155 0.000
0.000 0.000 6.471
ATOMIC_POSITIONS angstrom
Sr 0.000 0.000 0.000
Ca 3.078 3.078 3.236
V 0.000 0.000 3.236
I 0.000 3.078 0.000
I 3.078 0.000 0.000
```

---

Among the records above, which one has the highest VASP energy? SrCa3I